Below is crystalline KNaCuF6 at its relaxed geometry, with properties calculated at the PBE-GGA level.

Lattice parameters (Å, degrees): 5.6442 5.6442 5.3955 90.00 90.00 120.00
Atoms (fractional coordinates):
K 0.0000 0.0000 0.0000
Na 0.3333 0.6667 0.5000
Cu 0.6667 0.3333 0.5000
F 0.4008 0.0585 0.6970
F 0.4008 0.3423 0.3030
F 0.6577 0.0585 0.3030
F 0.6577 0.5992 0.6970
F 0.9415 0.3423 0.6970
F 0.9415 0.5992 0.3030

Values from the calculation:
M_tot (μB/f.u.): 1.0
Density of states at the Fermi level (states/eV/cell): 7.1
ΔE_f (raw) (eV/atom): -1.93
Uncorrected energy (eV for the cell shown): -35.14